No. 1
# La12Hg6Rh | Alexandria via LeMat-Bulk | PBE-GGA | relaxed
data_La12Hg6Rh
_chemical_formula_sum 'La36 Hg18 Rh3'
_cell_length_a 12.6077
_cell_length_b 12.6077
_cell_length_c 13.7628
_cell_angle_alpha 90.00
_cell_angle_beta 90.00
_cell_angle_gamma 120.00
_space_group_name_H-M_alt 'R -3'
_space_group_IT_number 148
_space_group_name_Hall '-R 3'
loop_
_atom_site_label
_atom_site_type_symbol
_atom_site_fract_x
_atom_site_fract_y
_atom_site_fract_z
_atom_site_occupancy
La1 La 0.0381 0.8470 0.3862 1
La2 La 0.0423 0.1957 0.8757 1
Hg1 Hg 0.0059 0.6031 0.2563 1
Rh1 Rh 0.0000 0.0000 0.0000 1
# Calculated formation energy   -0.310 eV per atom
# Volume   632 Å³/f.u.

---

No. 2
# CuSn2SbH | Alexandria via LeMat-Bulk | PBE-GGA | relaxed
data_CuSn2SbH
_chemical_formula_sum 'Cu1 Sn2 Sb1 H1'
_cell_length_a 5.397
_cell_length_b 5.397
_cell_length_c 3.481
_cell_angle_alpha 90.00
_cell_angle_beta 90.00
_cell_angle_gamma 90.00
_space_group_name_H-M_alt 'P 4/m m m'
_space_group_IT_number 123
_space_group_name_Hall '-P 4 2'
loop_
_atom_site_label
_atom_site_type_symbol
_atom_site_fract_x
_atom_site_fract_y
_atom_site_fract_z
_atom_site_occupancy
Cu1 Cu 0.000 0.000 0.000 1
Sn1 Sn 0.000 0.500 0.000 1
Sb1 Sb 0.500 0.500 0.500 1
H1 H 0.000 0.000 0.500 1
# Volume   101 Å³/f.u.
# Total energy   -3.71 eV/atom

---

No. 3
# SiIrOs2 | Alexandria via LeMat-Bulk | PBE-GGA | relaxed
data_SiIrOs2
_chemical_formula_sum 'Si1 Ir1 Os2'
_cell_length_a 3.802
_cell_length_b 3.802
_cell_length_c 3.885
_cell_angle_alpha 90.00
_cell_angle_beta 90.00
_cell_angle_gamma 90.00
_space_group_name_H-M_alt 'P 4/m m m'
_space_group_IT_number 123
_space_group_name_Hall '-P 4 2'
loop_
_atom_site_label
_atom_site_type_symbol
_atom_site_fract_x
_atom_site_fract_y
_atom_site_fract_z
_atom_site_occupancy
Si1 Si 0.000 0.000 0.000 1
Ir1 Ir 0.500 0.500 0.000 1
Os1 Os 0.000 0.500 0.500 1
# ΔE_f (raw)   5.0 kcal/mol of atoms
# Volume   56 Å³/f.u.

---

No. 4
# Tc2AsBr | Alexandria via LeMat-Bulk | PBE-GGA | relaxed
data_Tc2AsBr
_chemical_formula_sum 'Tc2 As1 Br1'
_cell_length_a 3.061
_cell_length_b 4.220
_cell_length_c 6.885
_cell_angle_alpha 90.00
_cell_angle_beta 95.91
_cell_angle_gamma 90.00
_space_group_name_H-M_alt 'P 1 m 1'
_space_group_IT_number 6
_space_group_name_Hall 'P -2y'
loop_
_atom_site_label
_atom_site_type_symbol
_atom_site_fract_x
_atom_site_fract_y
_atom_site_fract_z
_atom_site_occupancy
Tc1 Tc 0.000 0.000 0.000 1
Tc2 Tc 0.485 0.500 0.121 1
As1 As 0.564 0.000 0.299 1
Br1 Br 0.135 0.500 0.771 1
# ΔE_f (raw)   5.8 kcal/mol of atoms
# Volume   88 Å³/f.u.

---

For the records above, the corresponding Fermi-level density of states values read 1.566; 0.580; 1.364; 0.826 states/eV per atom.